A plane-wave DFT calculation with meta-GGA SCAN was carried out for DyAlPt at its PBEsol-relaxed geometry.

## Properties
The value obtained for the energy of formation from the pure elements is -1.406 eV/atom. The density of states at the Fermi level comes out at 0.471 states/eV per atom.

Cell lengths 4.360, 6.827, 7.684 Å; angles 90.00, 90.00, 90.00 degrees
Fractional coordinates of all 12 atoms:
1 Pt 0.750 0.229 0.116
2 Al 0.250 0.645 0.565
3 Pt 0.250 0.271 0.616
4 Pt 0.250 0.771 0.884
5 Dy 0.250 0.529 0.181
6 Dy 0.250 0.029 0.319
7 Dy 0.750 0.971 0.681
8 Pt 0.750 0.729 0.384
9 Al 0.250 0.145 0.935
10 Al 0.750 0.855 0.065
11 Al 0.750 0.355 0.435
12 Dy 0.750 0.471 0.819